## LaSm2Tl3 (PBE)

Data for crystalline LaSm2Tl3 at its relaxed geometry.

a b c (Å): 3.862 3.862 11.963
angles (deg): 90.00 90.00 90.00
Element x y z (fractional)
Sm 0.500 0.500 0.162
Tl 0.000 0.000 0.323
Sm 0.500 0.500 0.838
Tl 0.000 0.000 0.677
La 0.500 0.500 0.500
Tl 0.000 0.000 0.000

The calculation puts the total energy at -23.851 eV per cell. As for the formation energy: -230.2 kJ/mol of formula units.